First-principles (PBE) data for a geometry-optimized PPdBrO2 structure, as listed in Alexandria.

a = 3.7093 Å, b = 3.7093 Å, c = 5.5454 Å
α = 90.00°, β = 90.00°, γ = 90.00°
Positions (direct):
P (0.0000, 0.0000, 0.0000)
Pd (0.5000, 0.5000, 0.0000)
Br (0.0000, 0.0000, 0.5000)
O (0.0000, 0.5000, 0.5000)
O (0.5000, 0.0000, 0.5000)

## Properties
Its calculated total energy is -3.71 eV/atom. The value obtained for the relative energy among the computed polymorphs is 374.0 meV per atom. As for the space group: No. 123. As for the formation energy without anion corrections: 0.73 eV/atom.

First-principles (PBE) data for a geometry-optimized Rb3NpO4 structure, as listed in Alexandria.

a = 6.9295 Å, b = 7.8741 Å, c = 6.3725 Å
α = 90.00°, β = 108.68°, γ = 90.00°
Positions (direct):
Rb (0.0000, 0.1124, 0.2500)
Rb (0.0000, 0.8876, 0.7500)
Rb (0.5000, 0.1424, 0.7500)
Rb (0.5000, 0.3815, 0.2500)
Rb (0.5000, 0.6185, 0.7500)
Rb (0.5000, 0.8576, 0.2500)
Np (0.0000, 0.3931, 0.7500)
Np (0.0000, 0.6069, 0.2500)
O (0.1710, 0.4169, 0.4873)
O (0.1710, 0.5831, 0.9873)
O (0.1972, 0.2073, 0.9237)
O (0.1972, 0.7927, 0.4237)
O (0.8028, 0.2073, 0.5763)
O (0.8028, 0.7927, 0.0763)
O (0.8290, 0.4169, 0.0127)
O (0.8290, 0.5831, 0.5127)

## Properties
Its calculated total energy is -6.59 eV/atom. The value obtained for the relative energy among the computed polymorphs is 0.0 meV per atom. As for the space group: No. 13. As for the formation energy without anion corrections: -2.13 eV/atom.

First-principles (PBE) data for a geometry-optimized HoTl7 structure, as listed in Alexandria.

a = 6.8811 Å, b = 6.8811 Å, c = 6.8811 Å
α = 60.00°, β = 60.00°, γ = 60.00°
Positions (direct):
Ho (0.0000, 0.0000, 0.0000)
Tl (0.0000, 0.0000, 0.5000)
Tl (0.0000, 0.5000, 0.0000)
Tl (0.0000, 0.5000, 0.5000)
Tl (0.5000, 0.0000, 0.0000)
Tl (0.5000, 0.0000, 0.5000)
Tl (0.5000, 0.5000, 0.0000)
Tl (0.5000, 0.5000, 0.5000)

## Properties
Its calculated total energy is -2.71 eV/atom. As for the space group: No. 225.

First-principles (PBE) data for a geometry-optimized DyZn2Pt8 structure, as listed in Alexandria.

a = 5.2851 Å, b = 5.2851 Å, c = 8.1686 Å
α = 90.00°, β = 90.00°, γ = 90.00°
Positions (direct):
Dy (0.0000, 0.0000, 0.0000)
Zn (0.0000, 0.5000, 0.5000)
Zn (0.5000, 0.0000, 0.5000)
Pt (0.2531, 0.2531, 0.2688)
Pt (0.2531, 0.2531, 0.7312)
Pt (0.2531, 0.7469, 0.2688)
Pt (0.2531, 0.7469, 0.7312)
Pt (0.7469, 0.2531, 0.2688)
Pt (0.7469, 0.2531, 0.7312)
Pt (0.7469, 0.7469, 0.2688)
Pt (0.7469, 0.7469, 0.7312)

## Properties
Its calculated total energy is -5.18 eV/atom. As for the space group: No. 123.

First-principles (PBE) data for a geometry-optimized Rb2Hg3Te4 structure, as listed in Alexandria.

a = 12.6650 Å, b = 7.3422 Å, c = 14.9340 Å
α = 90.00°, β = 90.00°, γ = 90.00°
Positions (direct):
Rb (0.1328, 0.1711, 0.0369)
Rb (0.1328, 0.8289, 0.5369)
Rb (0.3672, 0.3289, 0.5369)
Rb (0.3672, 0.6711, 0.0369)
Rb (0.6328, 0.3289, 0.9631)
Rb (0.6328, 0.6711, 0.4631)
Rb (0.8672, 0.1711, 0.4631)
Rb (0.8672, 0.8289, 0.9631)
Hg (0.0000, 0.4138, 0.2500)
Hg (0.0000, 0.5863, 0.7500)
Hg (0.1639, 0.1447, 0.7525)
Hg (0.1639, 0.8553, 0.2525)
Hg (0.3361, 0.3553, 0.2525)
Hg (0.3361, 0.6447, 0.7525)
Hg (0.5000, 0.0862, 0.7500)
Hg (0.5000, 0.9138, 0.2500)
Hg (0.6639, 0.3553, 0.2475)
Hg (0.6639, 0.6447, 0.7475)
Hg (0.8361, 0.1447, 0.7475)
Hg (0.8361, 0.8553, 0.2475)
Te (0.0855, 0.3467, 0.6126)
Te (0.0855, 0.6533, 0.1126)
Te (0.1517, 0.1824, 0.3436)
Te (0.1517, 0.8176, 0.8436)
Te (0.3483, 0.3176, 0.8436)
Te (0.3483, 0.6824, 0.3436)
Te (0.4145, 0.1533, 0.1126)
Te (0.4145, 0.8467, 0.6126)
Te (0.5855, 0.1533, 0.3874)
Te (0.5855, 0.8467, 0.8874)
Te (0.6517, 0.3176, 0.6564)
Te (0.6517, 0.6824, 0.1564)
Te (0.8483, 0.1824, 0.1564)
Te (0.8483, 0.8176, 0.6564)
Te (0.9145, 0.3467, 0.8874)
Te (0.9145, 0.6533, 0.3874)

## Properties
Its calculated total energy is -2.21 eV/atom. The value obtained for the relative energy among the computed polymorphs is 0.0 meV per atom. As for the space group: No. 60. As for the formation energy without anion corrections: -0.50 eV/atom.

First-principles (PBE) data for a geometry-optimized KNaCoBr4 structure, as listed in Alexandria.

a = 7.1353 Å, b = 7.5161 Å, c = 8.8697 Å
α = 90.00°, β = 107.27°, γ = 90.00°
Positions (direct):
K (0.2456, 0.2500, 0.0606)
K (0.7544, 0.7500, 0.9394)
Na (0.2255, 0.2500, 0.5553)
Na (0.7745, 0.7500, 0.4447)
Co (0.2303, 0.7500, 0.3189)
Co (0.7697, 0.2500, 0.6811)
Br (0.0054, 0.5027, 0.2701)
Br (0.0054, 0.9973, 0.2701)
Br (0.4252, 0.7500, 0.1404)
Br (0.4412, 0.7500, 0.5828)
Br (0.5588, 0.2500, 0.4172)
Br (0.5748, 0.2500, 0.8596)
Br (0.9946, 0.0027, 0.7299)
Br (0.9946, 0.4973, 0.7299)

## Properties
Its calculated total energy is -3.38 eV/atom. As for the space group: No. 11. As for the formation energy without anion corrections: -1.06 eV/atom.

First-principles (PBE) data for a geometry-optimized LiPtCl2 structure, as listed in Alexandria.

a = 7.7156 Å, b = 7.7156 Å, c = 7.7156 Å
α = 25.22°, β = 25.22°, γ = 25.22°
Positions (direct):
Li (0.0000, 0.0000, 0.0000)
Pt (0.5000, 0.5000, 0.5000)
Cl (0.3977, 0.3977, 0.3977)
Cl (0.6023, 0.6023, 0.6023)

## Properties
Its calculated total energy is -3.63 eV/atom. The value obtained for the relative energy among the computed polymorphs is 0.0 meV per atom. As for the space group: No. 166. As for the formation energy without anion corrections: -0.72 eV/atom.

First-principles (PBE) data for a geometry-optimized Ac12MgSn7 structure, as listed in Alexandria.

a = 9.7396 Å, b = 9.7396 Å, c = 9.7396 Å
α = 107.56°, β = 107.56°, γ = 107.56°
Positions (direct):
Ac (0.1232, 0.2922, 0.8289)
Ac (0.1595, 0.4786, 0.2542)
Ac (0.1711, 0.8768, 0.7078)
Ac (0.2542, 0.1595, 0.4786)
Ac (0.2922, 0.8289, 0.1232)
Ac (0.4786, 0.2542, 0.1595)
Ac (0.5214, 0.7458, 0.8405)
Ac (0.7078, 0.1711, 0.8768)
Ac (0.7458, 0.8405, 0.5214)
Ac (0.8289, 0.1232, 0.2922)
Ac (0.8405, 0.5214, 0.7458)
Ac (0.8768, 0.7078, 0.1711)
Mg (0.5000, 0.5000, 0.5000)
Sn (0.0000, 0.0000, 0.0000)
Sn (0.1375, 0.4827, 0.5978)
Sn (0.4022, 0.8625, 0.5173)
Sn (0.4827, 0.5978, 0.1375)
Sn (0.5173, 0.4022, 0.8625)
Sn (0.5978, 0.1375, 0.4827)
Sn (0.8625, 0.5173, 0.4022)

## Properties
Its calculated total energy is -4.36 eV/atom. As for the space group: No. 148.

First-principles (PBE) data for a geometry-optimized MnCo2H2 structure, as listed in Alexandria.

a = 4.4251 Å, b = 4.4251 Å, c = 4.4251 Å
α = 139.20°, β = 139.20°, γ = 59.06°
Positions (direct):
Mn (0.0000, 0.0000, 0.0000)
Co (0.3402, 0.3402, 0.0000)
Co (0.6598, 0.6598, 0.0000)
H (0.2500, 0.7500, 0.5000)
H (0.7500, 0.2500, 0.5000)

## Properties
Its calculated total energy is -5.78 eV/atom. The value obtained for the relative energy among the computed polymorphs is 126.6 meV per atom. As for the space group: No. 139.

First-principles (PBE) data for a geometry-optimized TbHo3Cu2 structure, as listed in Alexandria.

a = 3.4732 Å, b = 3.4732 Å, c = 12.0521 Å
α = 90.00°, β = 90.00°, γ = 90.00°
Positions (direct):
Tb (0.0000, 0.0000, 0.0000)
Ho (0.5000, 0.5000, 0.2163)
Ho (0.5000, 0.5000, 0.5000)
Ho (0.5000, 0.5000, 0.7837)
Cu (0.0000, 0.0000, 0.3572)
Cu (0.0000, 0.0000, 0.6428)

## Properties
Its calculated total energy is -4.59 eV/atom. The value obtained for the relative energy among the computed polymorphs is 0.0 meV per atom. As for the space group: No. 123.

First-principles (PBE) data for a geometry-optimized ThTl5Te4 structure, as listed in Alexandria.

a = 9.8688 Å, b = 9.8688 Å, c = 9.3542 Å
α = 115.62°, β = 115.62°, γ = 26.79°
Positions (direct):
Th (0.0000, 0.0000, 0.0000)
Tl (0.0000, 0.0000, 0.5000)
Tl (0.2719, 0.2719, 0.8830)
Tl (0.3638, 0.3638, 0.4939)
Tl (0.6362, 0.6362, 0.5061)
Tl (0.7281, 0.7281, 0.1170)
Te (0.1676, 0.1676, 0.2791)
Te (0.4504, 0.4504, 0.1730)
Te (0.5496, 0.5496, 0.8270)
Te (0.8324, 0.8324, 0.7209)

## Properties
Its calculated total energy is -3.71 eV/atom. As for the space group: No. 12. As for the formation energy without anion corrections: -0.53 eV/atom.

First-principles (PBE) data for a geometry-optimized Pm4TmPu3S8 structure, as listed in Alexandria.

a = 7.9807 Å, b = 7.9807 Å, c = 7.9807 Å
α = 59.62°, β = 59.62°, γ = 59.62°
Positions (direct):
Pm (0.0000, 0.0000, 0.0000)
Pm (0.0000, 0.5000, 0.5000)
Pm (0.5000, 0.0000, 0.5000)
Pm (0.5000, 0.5000, 0.0000)
Tm (0.5000, 0.5000, 0.5000)
Pu (0.0000, 0.0000, 0.5000)
Pu (0.0000, 0.5000, 0.0000)
Pu (0.5000, 0.0000, 0.0000)
S (0.2472, 0.2472, 0.2472)
S (0.2508, 0.7443, 0.7443)
S (0.2557, 0.2557, 0.7492)
S (0.2557, 0.7492, 0.2557)
S (0.7443, 0.2508, 0.7443)
S (0.7443, 0.7443, 0.2508)
S (0.7492, 0.2557, 0.2557)
S (0.7528, 0.7528, 0.7528)

## Properties
Its calculated total energy is -8.16 eV/atom. As for the space group: No. 166. As for the formation energy without anion corrections: -1.94 eV/atom.

First-principles (PBE) data for a geometry-optimized K3Sm3HfS8 structure, as listed in Alexandria.

a = 8.8439 Å, b = 8.8439 Å, c = 8.8439 Å
α = 54.29°, β = 54.29°, γ = 54.29°
Positions (direct):
K (0.0000, 0.5000, 0.5000)
K (0.5000, 0.0000, 0.5000)
K (0.5000, 0.5000, 0.0000)
Sm (0.0000, 0.0000, 0.5000)
Sm (0.0000, 0.5000, 0.0000)
Sm (0.5000, 0.0000, 0.0000)
Hf (0.5000, 0.5000, 0.5000)
S (0.2352, 0.2352, 0.2352)
S (0.2559, 0.7184, 0.7184)
S (0.2816, 0.2816, 0.7441)
S (0.2816, 0.7441, 0.2816)
S (0.7184, 0.2559, 0.7184)
S (0.7184, 0.7184, 0.2559)
S (0.7441, 0.2816, 0.2816)
S (0.7648, 0.7648, 0.7648)

## Properties
Its calculated total energy is -5.84 eV/atom. As for the space group: No. 166. As for the formation energy without anion corrections: -1.81 eV/atom.

First-principles (PBE) data for a geometry-optimized Sc2TcOs structure, as listed in Alexandria.

a = 9.4878 Å, b = 9.4878 Å, c = 9.4878 Å
α = 18.05°, β = 18.05°, γ = 18.05°
Positions (direct):
Sc (0.0919, 0.0919, 0.0919)
Sc (0.9081, 0.9081, 0.9081)
Tc (0.0000, 0.0000, 0.0000)
Os (0.5000, 0.5000, 0.5000)

## Properties
Its calculated total energy is -8.26 eV/atom. As for the space group: No. 166.

First-principles (PBE) data for a geometry-optimized Tb3Ag4SbSe8 structure, as listed in Alexandria.

a = 8.0737 Å, b = 8.0737 Å, c = 8.0737 Å
α = 62.45°, β = 62.45°, γ = 62.45°
Positions (direct):
Tb (0.0000, 0.5000, 0.5000)
Tb (0.5000, 0.0000, 0.5000)
Tb (0.5000, 0.5000, 0.0000)
Ag (0.0000, 0.0000, 0.5000)
Ag (0.0000, 0.5000, 0.0000)
Ag (0.5000, 0.0000, 0.0000)
Ag (0.5000, 0.5000, 0.5000)
Sb (0.0000, 0.0000, 0.0000)
Se (0.2491, 0.2491, 0.7509)
Se (0.2491, 0.7509, 0.2491)
Se (0.2491, 0.7509, 0.7509)
Se (0.2517, 0.2517, 0.2517)
Se (0.7483, 0.7483, 0.7483)
Se (0.7509, 0.2491, 0.2491)
Se (0.7509, 0.2491, 0.7509)
Se (0.7509, 0.7509, 0.2491)

## Properties
Its calculated total energy is -4.50 eV/atom. As for the space group: No. 166. As for the formation energy without anion corrections: -0.92 eV/atom.

First-principles (PBE) data for a geometry-optimized KTc2Te structure, as listed in Alexandria.

a = 10.2610 Å, b = 10.2610 Å, c = 10.2610 Å
α = 152.79°, β = 152.79°, γ = 38.86°
Positions (direct):
K (0.3750, 0.6250, 0.7500)
K (0.6250, 0.3750, 0.2500)
Tc (0.0000, 0.0000, 0.0000)
Tc (0.0000, 0.0000, 0.5000)
Tc (0.0000, 0.5000, 0.0000)
Tc (0.5000, 0.0000, 0.5000)
Te (0.1250, 0.8750, 0.2500)
Te (0.8750, 0.1250, 0.7500)

## Properties
Its calculated total energy is -5.43 eV/atom. As for the space group: No. 141. As for the formation energy without anion corrections: 0.82 eV/atom.

First-principles (PBE) data for a geometry-optimized RbNp2NbO8 structure, as listed in Alexandria.

a = 5.1079 Å, b = 5.1128 Å, c = 7.2000 Å
α = 87.75°, β = 87.74°, γ = 87.12°
Positions (direct):
Rb (0.0000, 0.0000, 0.0000)
Np (0.4847, 0.4847, 0.2598)
Np (0.5153, 0.5153, 0.7402)
Nb (0.0000, 0.0000, 0.5000)
O (0.1987, 0.7924, 0.6918)
O (0.2084, 0.8020, 0.3081)
O (0.2947, 0.2955, 0.4881)
O (0.3439, 0.3455, 0.9571)
O (0.6561, 0.6545, 0.0429)
O (0.7053, 0.7045, 0.5119)
O (0.7916, 0.1980, 0.6919)
O (0.8013, 0.2076, 0.3082)

## Properties
Its calculated total energy is -8.91 eV/atom. As for the space group: No. 2. As for the formation energy without anion corrections: -2.53 eV/atom.

First-principles (PBE) data for a geometry-optimized SiB3 structure, as listed in Alexandria.

a = 4.8965 Å, b = 4.4796 Å, c = 3.2155 Å
α = 77.10°, β = 63.10°, γ = 39.80°
Positions (direct):
Si (0.0000, 0.0000, 0.0000)
B (0.2413, 0.2413, 0.7587)
B (0.3377, 0.3377, 0.1623)
B (0.8377, 0.8377, 0.6623)

## Properties
Its calculated total energy is -6.04 eV/atom. The value obtained for the relative energy among the computed polymorphs is 364.8 meV per atom. As for the space group: No. 42. As for the formation energy without anion corrections: 0.32 eV/atom.

First-principles (PBE) data for a geometry-optimized HoSc2Te structure, as listed in Alexandria.

a = 10.2177 Å, b = 10.2177 Å, c = 10.2177 Å
α = 20.72°, β = 20.72°, γ = 20.72°
Positions (direct):
Ho (0.0000, 0.0000, 0.0000)
Sc (0.1017, 0.1017, 0.1017)
Sc (0.8983, 0.8983, 0.8983)
Te (0.5000, 0.5000, 0.5000)

## Properties
Its calculated total energy is -5.21 eV/atom. The value obtained for the relative energy among the computed polymorphs is 526.3 meV per atom. As for the space group: No. 166. As for the formation energy without anion corrections: -0.11 eV/atom.

First-principles (PBE) data for a geometry-optimized ThAl2Ni4Ge structure, as listed in Alexandria.

a = 8.7781 Å, b = 8.7781 Å, c = 8.7781 Å
α = 26.82°, β = 26.82°, γ = 26.82°
Positions (direct):
Th (0.0000, 0.0000, 0.0000)
Al (0.2390, 0.2390, 0.2390)
Al (0.7610, 0.7610, 0.7610)
Ni (0.1349, 0.1349, 0.1349)
Ni (0.4054, 0.4054, 0.4054)
Ni (0.5946, 0.5946, 0.5946)
Ni (0.8651, 0.8651, 0.8651)
Ge (0.5000, 0.5000, 0.5000)

## Properties
Its calculated total energy is -5.82 eV/atom. As for the space group: No. 166.

First-principles (PBE) data for a geometry-optimized Tb3Tm2Sn2 structure, as listed in Alexandria.

a = 8.7202 Å, b = 8.7202 Å, c = 7.6639 Å
α = 114.30°, β = 114.30°, γ = 23.01°
Positions (direct):
Tb (0.0000, 0.0000, 0.0000)
Tb (0.2224, 0.2224, 0.1961)
Tb (0.7776, 0.7776, 0.8039)
Tm (0.0881, 0.0881, 0.6974)
Tm (0.9119, 0.9119, 0.3026)
Sn (0.3938, 0.3938, 0.6216)
Sn (0.6062, 0.6062, 0.3784)

## Properties
Its calculated total energy is -4.68 eV/atom. As for the space group: No. 12.

What are the calculated volume values for these records? In order: 76; 329; 230; 228; 1389; 454; 73; 757; 37; 145; 368; 356; 424; 72; 392; 226; 188; 39; 117; 121; 207 Å³ per cell.